1.
Material: Fe2HgSe2
Method: DFT, PBE
State: optimized geometry

The structure in POSCAR format:
```
Fe2HgSe2
1.0
-3.070 1.446 1.406
0.822 -1.441 3.277
5.498 7.252 -0.250
Fe Hg Se
2 1 2
Cartesian
0.652 4.350 1.749 Fe
2.598 2.907 2.685 Fe
0.000 0.000 0.000 Hg
2.884 4.785 1.379 Se
0.365 2.473 3.054 Se
```

Calculated values
Formation energy from raw total energies: -0.21 eV/atom
Calculated volume: 23.548 Å³/atom
Energy relative to the lowest polymorph listed for this composition: 0 meV/atom

=====

2.
Material: FeHg2Se
Method: DFT, PBE
State: optimized geometry

The structure in POSCAR format:
```
FeHg2Se
1.0
-1.253 -3.018 -5.945
4.244 -2.658 -4.576
-2.889 0.518 6.116
Fe Hg Se
1 2 1
Cartesian
1.487 -2.607 -2.078 Fe
0.220 -0.418 -0.774 Hg
-1.354 -2.611 -2.436 Hg
1.244 -2.361 -4.376 Se
```

Calculated values
Formation energy from raw total energies: 0.13 eV/atom
Calculated volume: 22.102 Å³/atom